Compound: In9Ag2Hg
Source: Alexandria via LeMat-Bulk
Functional: PBE-GGA
Structure: relaxed

Cell lengths 9.974, 9.974, 9.974 Å; angles 97.51, 97.51, 137.61 degrees
Sites, in units of the cell vectors:
In  0.023  0.225  0.459
In  0.023  0.565  0.798
In  0.225  0.023  0.959
In  0.225  0.267  0.202
In  0.267  0.225  0.702
In  0.267  0.565  0.041
In  0.375  0.625  0.750
In  0.435  0.733  0.459
In  0.435  0.977  0.702
In  0.565  0.023  0.298
In  0.565  0.267  0.541
In  0.625  0.375  0.250
In  0.733  0.435  0.959
In  0.733  0.775  0.298
In  0.775  0.733  0.798
In  0.775  0.977  0.041
In  0.977  0.435  0.202
In  0.977  0.775  0.541
Ag  0.000  0.500  0.500
Ag  0.500  0.000  0.000
Ag  0.500  0.500  0.000
Ag  0.500  0.500  0.500
Hg  0.125  0.875  0.250
Hg  0.875  0.125  0.750

Results
Energy of formation   41 meV per atom
Final energy   -0.1847 Ry per atom
Total magnetic moment   0.0 Bohr magnetons per cell
V   623.58 Å³/cell